# GGA-PBE LaTbC4, optimized geometry
# Calculated formation energy = -0.17 eV per atom
# SG = No. 12
data_LaTbC4
_chemical_formula_sum 'La1 Tb1 C4'
_symmetry_space_group_name_H-M 'P 1'
_symmetry_Int_Tables_number 1
_symmetry_space_group_name_Hall 'P 1'
_cell_length_a 4.267
_cell_length_b 4.267
_cell_length_c 7.293
_cell_angle_alpha 115.15
_cell_angle_beta 115.15
_cell_angle_gamma 53.03
loop_
_atom_site_label
_atom_site_type_symbol
_atom_site_fract_x
_atom_site_fract_y
_atom_site_fract_z
La1 La 0.000 0.000 0.000
Tb1 Tb 0.500 0.500 0.500
C1 C 0.191 0.191 0.780
C2 C 0.297 0.297 0.684
C3 C 0.703 0.703 0.316
C4 C 0.809 0.809 0.220

=====

# GGA-PBE LaTbC, optimized geometry
# Calculated formation energy = -0.16 eV per atom
# SG = No. 59
data_LaTbC
_chemical_formula_sum 'La2 Tb2 C2'
_symmetry_space_group_name_H-M 'P 1'
_symmetry_Int_Tables_number 1
_symmetry_space_group_name_Hall 'P 1'
_cell_length_a 3.651
_cell_length_b 5.150
_cell_length_c 8.225
_cell_angle_alpha 90.00
_cell_angle_beta 90.00
_cell_angle_gamma 90.00
loop_
_atom_site_label
_atom_site_type_symbol
_atom_site_fract_x
_atom_site_fract_y
_atom_site_fract_z
La1 La 0.250 0.250 0.170
La2 La 0.750 0.750 0.830
Tb1 Tb 0.250 0.250 0.591
Tb2 Tb 0.750 0.750 0.409
C1 C 0.250 0.750 0.620
C2 C 0.750 0.250 0.380

=====

# GGA-PBE LaTb2C2, optimized geometry
# Calculated formation energy = -0.10 eV per atom
# SG = No. 166
data_LaTb2C2
_chemical_formula_sum 'La1 Tb2 C2'
_symmetry_space_group_name_H-M 'P 1'
_symmetry_Int_Tables_number 1
_symmetry_space_group_name_Hall 'P 1'
_cell_length_a 9.952
_cell_length_b 9.952
_cell_length_c 9.952
_cell_angle_alpha 21.59
_cell_angle_beta 21.59
_cell_angle_gamma 21.59
loop_
_atom_site_label
_atom_site_type_symbol
_atom_site_fract_x
_atom_site_fract_y
_atom_site_fract_z
La1 La 0.000 0.000 0.000
Tb1 Tb 0.234 0.234 0.234
Tb2 Tb 0.766 0.766 0.766
C1 C 0.395 0.395 0.395
C2 C 0.605 0.605 0.605

=====

- Look up the calculated formation energy of the first one.
  -0.17 eV per atom